No. 1
The following is a PBEsol calculation of a relaxed ScFe5 crystal, from the Alexandria database.

The space group is F-43m (No. 216) and the conventional cell measures 6.677, 6.677 and 6.677 Å, with angles of 90.00, 90.00 and 90.00 degrees. The distinct sites, in fractional coordinates, are Sc at (0.000, 0.000, 0.000), Fe at (0.124, 0.124, 0.376) and Fe at (0.250, 0.250, 0.750).

Its magnetization is 9.96 μB/f.u. The calculation puts the density at 7.23 Mg/m³. The electronic total energy comes out at -8.6410 eV/atom.

---

No. 2
The following is a PBEsol calculation of a relaxed Sc3Fe crystal, from the Alexandria database.

The space group is Pnma (No. 62) and the conventional cell measures 6.492, 8.267 and 5.737 Å, with angles of 90.00, 90.00 and 90.00 degrees. The distinct sites, in fractional coordinates, are Sc at (0.045, 0.250, 0.124), Sc at (0.177, 0.063, 0.669) and Fe at (0.110, 0.750, 0.468).

Its magnetization is 0.00 μB/f.u. The calculation puts the density at 4.11 Mg/m³. The electronic total energy comes out at -7.3071 eV/atom.

---

No. 3
The following is a PBEsol calculation of a relaxed Sc2Fe crystal, from the Alexandria database.

The space group is I4_1/amd (No. 141, origin choice 2) and the conventional cell measures 3.032, 3.032 and 24.287 Å, with angles of 90.00, 90.00 and 90.00 degrees. The distinct sites, in fractional coordinates, are Sc at (0.000, 0.250, 0.314) and Fe at (0.000, 0.250, 0.875).

Its magnetization is 0.00 μB/f.u. The calculation puts the density at 4.34 Mg/m³. The electronic total energy comes out at -7.4754 eV/atom.